(1)
This record from Alexandria describes La2PmDy after structural relaxation. The functional is PBE-GGA.

Geometry as POSCAR:
```
La2PmDy
1.0
1.8420 1.0635 11.8554
-1.8420 1.0635 11.8554
0.0000 -2.1269 11.8554
La Pm Dy
2 1 1
Direct
0.2488 0.2488 0.2488
0.7512 0.7512 0.7512
0.0000 0.0000 0.0000
0.5000 0.5000 0.5000
```

Computed properties:
Electronic total energy in eV per atom: -4.79
ΔH_f (0 K) in meV per atom: 11
Relative energy among the computed polymorphs in meV per atom: 0

(2)
This record from Alexandria describes PaSi2OsRh2 after structural relaxation. The functional is PBE-GGA.

Geometry as POSCAR:
```
PaSi2OsRh2
1.0
-1.9667 1.9667 7.3088
1.9667 -1.9667 7.3088
1.9667 1.9667 -7.3088
Pa Si Os Rh
1 2 1 2
Direct
0.0000 0.0000 0.0000
0.3373 0.3373 0.0000
0.6627 0.6627 0.0000
0.5000 0.5000 0.0000
0.2500 0.7500 0.5000
0.7500 0.2500 0.5000
```

Computed properties:
Electronic total energy in eV per atom: -8.31

(3)
This record from Alexandria describes NdHo3Er8 after structural relaxation. The functional is PBE-GGA.

Geometry as POSCAR:
```
NdHo3Er8
1.0
-3.1813 5.6002 5.6392
3.1813 -5.6002 5.6392
3.1813 5.6002 -5.6392
Nd Ho Er
1 3 8
Direct
0.0000 0.0000 0.0000
0.2565 0.7565 0.5000
0.5000 0.5000 0.0000
0.7435 0.2435 0.5000
0.0816 0.2507 0.8310
0.2564 0.2469 0.5032
0.2564 0.7531 0.0095
0.4197 0.2507 0.1690
0.5803 0.7493 0.8310
0.7436 0.2469 0.9905
0.7436 0.7531 0.4968
0.9184 0.7493 0.1690
```

Computed properties:
Electronic total energy in eV per atom: -4.26
ΔH_f (0 K) in meV per atom: 328

no.,total moment (Bohr magnetons per cell)
1,0.00
2,0.00
3,0.00